The following is a DFT calculation (PBEsol) of a relaxed structure of Ti2AlSiSb.

POSCAR file:
```
Ti2AlSiSb
1.0
4.766 0.000 0.000
0.000 4.766 0.000
0.000 0.000 4.910
Sb Al Si Ti
1 1 1 2
Direct
0.000 0.000 0.500
0.000 0.000 0.000
0.500 0.500 0.500
0.500 0.000 0.000
0.000 0.500 0.000
```

Properties
Space group: P4/mmm, No. 123
ΔE_f (raw), eV/atom: 1.0117
Total moment, Bohr magnetons per cell: 0.0
Total energy, eV per atom: -5.20